#one
Here is Cr2B3 after structural relaxation from the Alexandria database. Energies are from GGA-PBE.

Cell and atoms, written as POSCAR:
```
Cr2B3
1.0
2.647 0.000 1.251
0.675 3.478 1.998
-0.297 0.057 4.056
Cr B
2 3
direct
0.205 0.295 0.295 Cr
0.795 0.705 0.705 Cr
0.500 0.726 0.274 B
0.000 0.000 0.000 B
0.500 0.274 0.726 B
```

Calculated values
space-group type = Immm
Fermi-level density of states = 2.89 states/eV per cell

=====

#two
Here is Cr2B3 after structural relaxation from the Alexandria database. Energies are from GGA-PBE.

Cell and atoms, written as POSCAR:
```
Cr2B3
1.0
-1.002 -9.137 0.047
1.545 8.591 -2.882
2.862 -0.311 0.608
B Cr
6 4
direct
0.024 0.976 0.750 B
0.173 0.827 0.250 B
0.827 0.173 0.750 B
0.976 0.024 0.250 B
0.881 0.119 0.250 B
0.119 0.881 0.750 B
0.703 0.297 0.750 Cr
0.428 0.572 0.750 Cr
0.297 0.703 0.250 Cr
0.572 0.428 0.250 Cr
```

Calculated values
space-group type = Cmcm
Fermi-level density of states = 7.27 states/eV per cell

=====

The most stable arrangement is #two, and the next structure is 122 meV per atom less stable.

=====

#one
Here is CsCrB3 after structural relaxation from the Alexandria database. Energies are from GGA-PBE.

Cell and atoms, written as POSCAR:
```
CsCrB3
1.0
-2.446 -0.683 3.469
-3.286 -1.115 -2.537
1.303 -4.095 0.113
B Cs Cr
3 1 1
direct
0.000 0.000 0.500 B
0.500 0.000 0.000 B
0.000 0.500 0.000 B
0.500 0.500 0.500 Cs
0.000 0.000 0.000 Cr
```

Calculated values
space-group type = Pm-3m
Fermi-level density of states = 2.82 states/eV per cell

=====

#two
Here is CsCrB3 after structural relaxation from the Alexandria database. Energies are from GGA-PBE.

Cell and atoms, written as POSCAR:
```
CsCrB3
1.0
4.795 0.000 0.000
0.000 4.795 0.000
0.000 0.000 4.795
B Cs Cr
3 1 1
direct
0.500 0.000 0.000 B
0.000 0.500 0.000 B
0.000 0.000 0.500 B
0.000 0.000 0.000 Cs
0.500 0.500 0.500 Cr
```

Calculated values
space-group type = Pm-3m
Fermi-level density of states = 4.12 states/eV per cell

=====

The most stable arrangement is #one, and the next structure is 2139 meV per atom less stable.

=====

#one
Here is Cr3CuB after structural relaxation from the Alexandria database. Energies are from GGA-PBE.

Cell and atoms, written as POSCAR:
```
Cr3CuB
1.0
-1.284 3.327 1.509
-2.724 0.194 -2.745
-2.434 -1.972 2.276
Cu B Cr
1 1 3
direct
0.500 0.500 0.500 Cu
0.000 0.000 0.000 B
0.000 0.500 0.000 Cr
0.500 0.000 0.000 Cr
0.000 0.000 0.500 Cr
```

Calculated values
space-group type = Pm-3m
Fermi-level density of states = 5.76 states/eV per cell

=====

#two
Here is Cr3CuB after structural relaxation from the Alexandria database. Energies are from GGA-PBE.

Cell and atoms, written as POSCAR:
```
Cr3CuB
1.0
-2.314 2.798 2.107
-3.491 -2.050 -1.110
0.289 -2.364 3.457
B Cu Cr
1 1 3
direct
0.500 0.500 0.500 B
0.000 0.000 0.000 Cu
0.000 0.500 0.000 Cr
0.500 0.000 0.000 Cr
0.000 0.000 0.500 Cr
```

Calculated values
space-group type = Pm-3m
Fermi-level density of states = 10.93 states/eV per cell

=====

The most stable arrangement is #one, and the next structure is 1896 meV per atom less stable.

=====

#one
Here is CrFeCuB2 after structural relaxation from the Alexandria database. Energies are from GGA-PBE.

Cell and atoms, written as POSCAR:
```
CrFeCuB2
1.0
3.664 0.000 0.000
0.000 4.339 0.000
0.000 0.000 3.664
Fe Cu B Cr
1 1 2 1
direct
0.000 0.000 0.000 Fe
0.000 0.500 0.000 Cu
0.000 0.000 0.500 B
0.500 0.000 0.000 B
0.500 0.500 0.500 Cr
```

Calculated values
space-group type = P4/mmm
Fermi-level density of states = 8.05 states/eV per cell

=====

#two
Here is CrFeCuB2 after structural relaxation from the Alexandria database. Energies are from GGA-PBE.

Cell and atoms, written as POSCAR:
```
CrFeCuB2
1.0
3.822 0.000 0.000
0.000 4.407 0.000
0.000 0.000 3.822
Fe B Cu Cr
1 2 1 1
direct
0.500 0.500 0.500 Fe
0.500 0.000 0.000 B
0.000 0.000 0.500 B
0.000 0.500 0.000 Cu
0.000 0.000 0.000 Cr
```

Calculated values
space-group type = P4/mmm
Fermi-level density of states = 4.81 states/eV per cell

=====

The most stable arrangement is #one, and the next structure is 152 meV per atom less stable.